# Na2CoSnF6 GGA+U relaxed
data_Na2CoSnF6
_chemical_formula_sum 'Na2 Co1 Sn1 F6'
_symmetry_space_group_name_H-M 'P 1'
_symmetry_Int_Tables_number 1
_symmetry_space_group_name_Hall 'P 1'
_cell_length_a 5.7851
_cell_length_b 5.8010
_cell_length_c 6.0789
_cell_angle_alpha 61.59
_cell_angle_beta 89.98
_cell_angle_gamma 60.10
loop_
_atom_site_label
_atom_site_type_symbol
_atom_site_fract_x
_atom_site_fract_y
_atom_site_fract_z
Na1 Na 0.0000 0.0000 0.0000
Na2 Na 0.4940 0.0132 0.4783
Co1 Co 0.7054 0.5927 0.1094
Sn1 Sn 0.2137 0.5742 0.6361
F1 F 0.0599 0.1281 0.3174
F2 F 0.3413 0.0495 0.8479
F3 F 0.4444 0.4935 0.3134
F4 F 0.6141 0.4926 0.8449
F5 F 0.8127 0.7414 0.3177
F6 F 0.8938 0.7669 0.8432
# - total energy (eV/atom) = -4.695
# - calculated volume (Å³/cell) = 147.9